[1]
A plane-wave DFT calculation with GGA-PBE was carried out for a relaxed structure of YInTe2N.

Lattice parameters (Å, degrees): 5.752 5.752 4.127 90.00 90.00 90.00
Site moments in Bohr magnetons follow the coordinates.
Fractional positions:
Y (0.500, 0.500, 0.500)  -0.03
N (0.000, 0.000, 0.500)  0.72
Te (0.000, 0.500, 0.000)  0.08
Te (0.500, 0.000, 0.000)  0.08
In (0.000, 0.000, 0.000)  -0.03

## Properties
The relative energy among the computed polymorphs is 0.126 eV/atom.


[2]
A plane-wave DFT calculation with GGA-PBE was carried out for a relaxed structure of ZnInTeN2.

Lattice parameters (Å, degrees): 4.139 4.139 5.614 90.00 90.00 90.00
Site moments in Bohr magnetons follow the coordinates.
Fractional positions:
N (0.000, 0.500, 0.000)  1.10
N (0.500, 0.000, 0.000)  1.10
Zn (0.000, 0.000, 0.000)  0.04
Te (0.000, 0.000, 0.500)  0.15
In (0.500, 0.500, 0.500)  -0.02

## Properties
The relative energy among the computed polymorphs is 0.000 eV/atom.


[3]
A plane-wave DFT calculation with GGA-PBE was carried out for a relaxed structure of ZnInTe2N.

Lattice parameters (Å, degrees): 5.923 5.923 4.020 90.00 90.00 90.00
Site moments in Bohr magnetons follow the coordinates.
Fractional positions:
N (0.000, 0.000, 0.500)  0.84
Zn (0.500, 0.500, 0.500)  -0.02
Te (0.000, 0.500, 0.000)  0.15
Te (0.500, 0.000, 0.000)  0.15
In (0.000, 0.000, 0.000)  -0.02

## Properties
The relative energy among the computed polymorphs is 0.319 eV/atom.


[4]
A plane-wave DFT calculation with GGA-PBE was carried out for a relaxed structure of ZnInTeN2.

Lattice parameters (Å, degrees): 4.233 4.233 6.386 90.00 90.00 90.00
Site moments in Bohr magnetons follow the coordinates.
Fractional positions:
N (0.000, 0.500, 0.000)  1.09
N (0.500, 0.000, 0.000)  1.09
Zn (0.500, 0.500, 0.500)  0.01
Te (0.000, 0.000, 0.500)  0.12
In (0.000, 0.000, 0.000)  -0.02

## Properties
The relative energy among the computed polymorphs is 0.006 eV/atom.


[5]
A plane-wave DFT calculation with GGA-PBE was carried out for a relaxed structure of ZnInTe2N.

Lattice parameters (Å, degrees): 6.018 6.018 3.578 90.00 90.00 90.00
Site moments in Bohr magnetons follow the coordinates.
Fractional positions:
N (0.000, 0.000, 0.500)  0.92
Zn (0.000, 0.000, 0.000)  0.09
Te (0.000, 0.500, 0.000)  0.19
Te (0.500, 0.000, 0.000)  0.19
In (0.500, 0.500, 0.500)  0.01

## Properties
The relative energy among the computed polymorphs is 0.000 eV/atom.


[6]
A plane-wave DFT calculation with GGA-PBE was carried out for a relaxed structure of ThInN.

Lattice parameters (Å, degrees): 3.364 7.047 6.145 90.00 90.00 103.81
Fractional positions:
N (0.500, 0.000, 0.500)
N (0.500, 0.000, 0.000)
Th (0.057, 0.115, 0.250)
Th (0.943, 0.885, 0.750)
In (0.210, 0.420, 0.750)
In (0.790, 0.580, 0.250)


[7]
A plane-wave DFT calculation with GGA-PBE was carried out for a relaxed structure of Th4In2N.

Lattice parameters (Å, degrees): 4.870 4.870 9.044 74.38 74.38 90.00
Fractional positions:
N (0.000, 0.000, 0.000)
Th (0.836, 0.836, 0.328)
Th (0.164, 0.164, 0.672)
Th (0.000, 0.500, 0.000)
Th (0.500, 0.000, 0.000)
In (0.642, 0.642, 0.716)
In (0.358, 0.358, 0.284)


[8]
A plane-wave DFT calculation with GGA-PBE was carried out for a relaxed structure of ThInN2.

Lattice parameters (Å, degrees): 3.713 3.713 6.543 73.52 73.52 60.00
Fractional positions:
Th (0.662, 0.662, 0.014)
In (0.480, 0.480, 0.559)
N (0.077, 0.077, 0.769)
N (0.281, 0.281, 0.158)


[9]
A plane-wave DFT calculation with GGA-PBE was carried out for a relaxed structure of Th2TiInN5.

Lattice parameters (Å, degrees): 3.466 7.126 10.547 90.00 90.00 104.08
Fractional positions:
Th (0.861, 0.722, 0.782)
Th (0.110, 0.221, 0.680)
Th (0.139, 0.278, 0.282)
Th (0.890, 0.779, 0.180)
Ti (0.780, 0.561, 0.500)
Ti (0.220, 0.439, 0.000)
In (0.537, 0.075, 0.966)
In (0.463, 0.925, 0.466)
N (0.361, 0.721, 0.009)
N (0.702, 0.404, 0.889)
N (0.498, 0.997, 0.770)
N (0.278, 0.557, 0.661)
N (0.932, 0.864, 0.569)
N (0.639, 0.279, 0.509)
N (0.298, 0.596, 0.389)
N (0.502, 0.003, 0.270)
N (0.722, 0.443, 0.161)
N (0.068, 0.136, 0.069)


[10]
A plane-wave DFT calculation with GGA-PBE was carried out for a relaxed structure of Y2ThInN.

Lattice parameters (Å, degrees): 4.906 4.901 4.901 90.00 90.00 90.00
Fractional positions:
Y (0.000, 0.000, 0.500)
Y (0.000, 0.500, 0.000)
Th (0.500, 0.000, 0.000)
In (0.500, 0.500, 0.500)
N (0.000, 0.000, 0.000)


[11]
A plane-wave DFT calculation with GGA-PBE was carried out for a relaxed structure of YTh2InN.

Lattice parameters (Å, degrees): 4.961 4.967 4.967 90.00 90.00 90.00
Fractional positions:
Y (0.500, 0.000, 0.000)
Th (0.000, 0.000, 0.500)
Th (0.000, 0.500, 0.000)
In (0.500, 0.500, 0.500)
N (0.000, 0.000, 0.000)


[12]
A plane-wave DFT calculation with GGA-PBE was carried out for a relaxed structure of ThZnInN.

Lattice parameters (Å, degrees): 4.344 4.344 8.625 90.00 90.00 90.00
Fractional positions:
Th (0.000, 0.500, 0.881)
Th (0.500, 0.000, 0.119)
Zn (0.500, 0.000, 0.709)
Zn (0.000, 0.500, 0.291)
In (0.000, 0.000, 0.500)
In (0.500, 0.500, 0.500)
N (0.500, 0.500, 0.000)
N (0.000, 0.000, 0.000)


Total DFT energy (no corrections) across the listed records, respectively: -4.55, -3.43, -2.80, -3.42, -3.11, -6.87, -6.69, -7.22, -8.51, -7.18, -7.27, -5.72 eV per atom.
Formation energy (no corrections) across the listed records, respectively: 0.209, 1.334, 0.929, 1.340, 0.610, -0.710, -0.477, -0.521, -1.051, -0.895, -0.799, -0.777 eV/atom.